# 1
## ScAl11 (PBE-GGA)

Data for a geometry-optimized ScAl11 structure.

a = 7.169 Å, b = 8.521 Å, c = 8.521 Å
α = 79.81°, β = 65.12°, γ = 65.12°
Sites, in units of the cell vectors:
Al  0.320  0.674  0.084
Al  0.078  0.326  0.916
Al  0.000  0.000  0.000
Al  0.596  0.326  0.084
Al  0.430  0.826  0.416
Al  0.320  0.084  0.674
Al  0.745  0.826  0.584
Al  0.750  0.500  0.500
Al  0.875  0.250  0.750
Al  0.154  0.416  0.174
Sc  0.250  0.500  0.500
Al  0.005  0.916  0.674
Al  0.078  0.916  0.326
Al  0.375  0.750  0.750
Al  0.745  0.584  0.826
Al  0.596  0.084  0.326
Al  0.154  0.174  0.416
Al  0.875  0.750  0.250
Al  0.672  0.584  0.174
Sc  0.500  0.000  0.000
Al  0.875  0.250  0.250
Al  0.430  0.416  0.826
Al  0.672  0.174  0.584
Al  0.005  0.674  0.916

Energy of formation, eV per atom: 0.026

# 2
## Sc2Al (PBE-GGA)

Data for a geometry-optimized Sc2Al structure.

a = 7.886 Å, b = 7.886 Å, c = 4.838 Å
α = 90.00°, β = 90.00°, γ = 155.19°
Sites, in units of the cell vectors:
Al  0.071  0.929  0.250
Sc  0.274  0.726  0.750
Sc  0.587  0.413  0.750
Sc  0.726  0.274  0.250
Sc  0.413  0.587  0.250
Al  0.929  0.071  0.750

Energy of formation, eV per atom: -0.316

# 3
## Sc2Al (PBE-GGA)

Data for a geometry-optimized Sc2Al structure.

a = 9.053 Å, b = 9.053 Å, c = 9.053 Å
α = 60.00°, β = 60.00°, γ = 60.00°
Sites, in units of the cell vectors:
Sc  0.685  0.685  0.565
Sc  0.500  0.500  0.500
Sc  0.935  0.315  0.435
Sc  0.500  0.500  0.000
Sc  0.685  0.065  0.565
Al  0.714  0.714  0.214
Al  0.714  0.359  0.214
Al  0.641  0.286  0.786
Sc  0.500  0.000  0.000
Sc  0.065  0.685  0.185
Sc  0.685  0.065  0.185
Sc  0.935  0.935  0.815
Sc  0.065  0.065  0.185
Al  0.714  0.714  0.859
Sc  0.315  0.935  0.435
Sc  0.065  0.685  0.565
Al  0.286  0.641  0.786
Al  0.286  0.286  0.786
Sc  0.000  0.500  0.000
Sc  0.315  0.315  0.435
Al  0.359  0.714  0.214
Sc  0.315  0.935  0.815
Sc  0.935  0.315  0.815
Al  0.286  0.286  0.141

Energy of formation, eV per atom: -0.282

# 4
## Sc2Al (PBE-GGA)

Data for a geometry-optimized Sc2Al structure.

a = 5.643 Å, b = 5.643 Å, c = 9.428 Å
α = 90.00°, β = 90.00°, γ = 120.00°
Sites, in units of the cell vectors:
Sc  0.343  0.172  0.250
Al  0.667  0.333  0.567
Sc  0.828  0.172  0.250
Sc  0.172  0.343  0.750
Sc  0.000  0.000  0.500
Sc  0.657  0.828  0.750
Sc  0.172  0.828  0.750
Al  0.333  0.667  0.067
Sc  0.828  0.657  0.250
Al  0.333  0.667  0.433
Sc  0.000  0.000  0.000
Al  0.667  0.333  0.933

Energy of formation, eV per atom: 0.187

# 5
## Sc3Al (PBE-GGA)

Data for a geometry-optimized Sc3Al structure.

a = 4.956 Å, b = 5.668 Å, c = 6.179 Å
α = 90.00°, β = 90.00°, γ = 90.00°
Site moments in Bohr magnetons follow the coordinates.
Sites, in units of the cell vectors:
Sc  0.000  0.840  0.746  0.06
Sc  0.000  0.840  0.254  0.06
Sc  0.000  0.368  0.500  0.05
Sc  0.500  0.160  0.754  0.06
Al  0.500  0.666  0.500  0.00
Al  0.000  0.334  0.000  0.00
Sc  0.500  0.632  0.000  0.05
Sc  0.500  0.160  0.246  0.06

Energy of formation, eV per atom: -0.244

# 6
## Sc3Al4 (PBE-GGA)

Data for a geometry-optimized Sc3Al4 structure.

a = 5.580 Å, b = 5.580 Å, c = 5.580 Å
α = 90.00°, β = 90.00°, γ = 90.00°
Sites, in units of the cell vectors:
Sc  0.500  0.000  0.500
Sc  0.500  0.500  0.000
Sc  0.000  0.500  0.500
Al  0.164  0.164  0.836
Al  0.836  0.164  0.164
Al  0.164  0.836  0.164
Al  0.836  0.836  0.836

Energy of formation, eV per atom: 0.360